! Ba2CdCo | Alexandria | meta-GGA SCAN | single point on PBEsol structure; values from VASP
&SYSTEM
  ibrav = 0, nat = 4, ntyp = 3
/
ATOMIC_SPECIES
Ba 137.33 Ba.upf
Cd 112.41 Cd.upf
Co 58.93 Co.upf
CELL_PARAMETERS angstrom
3.797 0.000 0.000
0.000 3.797 0.000
0.000 0.000 8.242
ATOMIC_POSITIONS angstrom
Ba 0.000 0.000 1.779
Ba 0.000 0.000 6.463
Cd 1.899 1.899 4.121
Co 1.899 1.899 0.000
! Total magnetic moment ... 0.186 μB/atom
! ΔH_f (0 K) ... 0.16 eV/atom

! BaCd2Co | Alexandria | meta-GGA SCAN | single point on PBEsol structure; values from VASP
&SYSTEM
  ibrav = 0, nat = 4, ntyp = 3
/
ATOMIC_SPECIES
Ba 137.33 Ba.upf
Cd 112.41 Cd.upf
Co 58.93 Co.upf
CELL_PARAMETERS angstrom
0.000 3.629 3.629
3.629 0.000 3.629
3.629 3.629 0.000
ATOMIC_POSITIONS angstrom
Ba 0.000 0.000 0.000
Cd 1.815 1.815 1.815
Cd 3.629 3.629 3.629
Co 5.444 5.444 5.444
! Total magnetic moment ... 0.326 μB/atom
! ΔH_f (0 K) ... 0.24 eV/atom

! BaCd2Co | Alexandria | meta-GGA SCAN | single point on PBEsol structure; values from VASP
&SYSTEM
  ibrav = 0, nat = 4, ntyp = 3
/
ATOMIC_SPECIES
Ba 137.33 Ba.upf
Cd 112.41 Cd.upf
Co 58.93 Co.upf
CELL_PARAMETERS angstrom
2.855 -5.633 0.000
2.855 5.633 0.000
-1.636 0.000 2.969
ATOMIC_POSITIONS angstrom
Ba 0.000 0.000 0.000
Cd 0.609 2.817 1.484
Cd 0.609 -2.817 1.484
Co 2.855 0.000 0.000
! Total magnetic moment ... 0.394 μB/atom
! ΔH_f (0 K) ... 0.49 eV/atom

! Ba2ScCdCo | Alexandria | meta-GGA SCAN | single point on PBEsol structure; values from VASP
&SYSTEM
  ibrav = 0, nat = 5, ntyp = 4
/
ATOMIC_SPECIES
Ba 137.33 Ba.upf
Sc 44.96 Sc.upf
Cd 112.41 Cd.upf
Co 58.93 Co.upf
CELL_PARAMETERS angstrom
6.422 0.000 0.000
0.000 6.422 0.000
0.000 0.000 4.217
ATOMIC_POSITIONS angstrom
Ba 0.000 3.211 0.000
Ba 3.211 0.000 0.000
Sc 0.000 0.000 0.000
Cd 3.211 3.211 2.109
Co 0.000 0.000 2.109
! Total magnetic moment ... 0.000 μB/atom
! ΔH_f (0 K) ... 0.58 eV/atom

- Among the records above, which one has the highest total magnetic moment?
  number 3

- Which formula does entry 3 have?
  BaCd2Co

- Which of these has the highest total magnetic moment?
  number 3

- What is the formula in the second record?
  BaCd2Co